Record 1
# YFe2Re2

Crystalline YFe2Re2 at its relaxed geometry (PBE, Alexandria).

Lattice parameters (Å, degrees): 7.5715 7.5715 2.6661 90.00 90.00 90.00
Element x y z (fractional)
Y 0.0000 0.0000 0.0000
Y 0.5000 0.5000 0.0000
Fe 0.1682 0.3318 0.5000
Fe 0.3318 0.8318 0.5000
Fe 0.6682 0.1682 0.5000
Fe 0.8318 0.6682 0.5000
Re 0.1214 0.6214 0.0000
Re 0.3786 0.1214 0.0000
Re 0.6214 0.8786 0.0000
Re 0.8786 0.3786 0.0000

Output
**DFT formation energy**: 1.19 eV/f.u.
**Energy**: -9.420 eV per atom
**DOS at the Fermi energy**: 11.28 states/eV per cell
**Energy relative to the lowest polymorph listed for this composition**: 0.96 eV/f.u.


Record 2
# LiMgSc2

Crystalline LiMgSc2 at its relaxed geometry (PBE, Alexandria).

Lattice parameters (Å, degrees): 3.0686 4.9309 6.2010 90.00 104.00 90.00
Element x y z (fractional)
Li 0.0000 0.0000 0.0000
Mg 0.0882 0.5000 0.2574
Sc 0.3649 0.5000 0.7732
Sc 0.7160 0.0000 0.4936

Output
**DFT formation energy**: 0.38 eV/f.u.
**Energy**: -3.948 eV per atom
**DOS at the Fermi energy**: 4.59 states/eV per cell


Record 3
# CaYTh2Se4

Crystalline CaYTh2Se4 at its relaxed geometry (PBE, Alexandria).

Lattice parameters (Å, degrees): 6.9810 4.0210 7.6362 90.00 107.66 90.00
Element x y z (fractional)
Ca 0.0000 0.0000 0.0000
Y 0.5000 0.5000 0.0000
Th 0.0000 0.5000 0.5000
Th 0.5000 0.0000 0.5000
Se 0.2458 0.5000 0.2345
Se 0.2554 0.0000 0.7653
Se 0.7446 0.0000 0.2347
Se 0.7542 0.5000 0.7655

Output
**Energy**: -6.330 eV per atom
**Formation energy without anion corrections**: -1674 meV per atom
**DOS at the Fermi energy**: 5.21 states/eV per cell


Record 4
# BeFeSCl2

Crystalline BeFeSCl2 at its relaxed geometry (PBE, Alexandria).

Lattice parameters (Å, degrees): 4.6623 4.6623 4.2882 90.00 90.00 90.00
Element x y z (fractional)
Be 0.0000 0.0000 0.0000
Fe 0.5000 0.5000 0.5000
S 0.5000 0.5000 0.0000
Cl 0.0000 0.5000 0.5000
Cl 0.5000 0.0000 0.5000

Output
**Energy**: -3.579 eV per atom
**Formation energy without anion corrections**: 423 meV per atom
**DOS at the Fermi energy**: 5.44 states/eV per cell
**Energy relative to the lowest polymorph listed for this composition**: 1.91 eV/f.u.


Record 5
# Na3Ti2MnSe6

Crystalline Na3Ti2MnSe6 at its relaxed geometry (PBE, Alexandria).

Lattice parameters (Å, degrees): 6.6419 6.6419 7.2626 98.71 98.71 120.49
Element x y z (fractional)
Na 0.0000 0.0000 0.0000
Na 0.3384 0.6616 0.0000
Na 0.6616 0.3384 0.0000
Ti 0.1730 0.8270 0.5000
Ti 0.8270 0.1730 0.5000
Mn 0.5000 0.5000 0.5000
Se 0.0892 0.4286 0.2872
Se 0.2297 0.2297 0.7034
Se 0.4286 0.0892 0.2872
Se 0.5714 0.9108 0.7128
Se 0.7703 0.7703 0.2966
Se 0.9108 0.5714 0.7128

Output
**Energy**: -5.184 eV per atom
**Formation energy without anion corrections**: -1032 meV per atom
**DOS at the Fermi energy**: 5.12 states/eV per cell


Record 6
# RbAgMo3

Crystalline RbAgMo3 at its relaxed geometry (PBE, Alexandria).

Lattice parameters (Å, degrees): 4.6712 4.6712 4.6712 90.00 90.00 90.00
Element x y z (fractional)
Rb 0.0000 0.0000 0.0000
Ag 0.5000 0.5000 0.5000
Mo 0.0000 0.0000 0.5000
Mo 0.0000 0.5000 0.0000
Mo 0.5000 0.0000 0.0000

Output
**DFT formation energy**: 16.00 eV/f.u.
**Energy**: -4.062 eV per atom
**DOS at the Fermi energy**: 4.04 states/eV per cell
**Energy relative to the lowest polymorph listed for this composition**: 3.38 eV/f.u.


Record 7
# Ho8ZnCu2

Crystalline Ho8ZnCu2 at its relaxed geometry (PBE, Alexandria).

Lattice parameters (Å, degrees): 9.0633 9.0633 6.7570 106.72 106.72 32.39
Element x y z (fractional)
Ho 0.0326 0.0326 0.2822
Ho 0.1974 0.1974 0.8254
Ho 0.3275 0.3275 0.5155
Ho 0.4064 0.4064 0.0365
Ho 0.5936 0.5936 0.9635
Ho 0.6725 0.6725 0.4845
Ho 0.8026 0.8026 0.1746
Ho 0.9674 0.9674 0.7178
Zn 0.5000 0.5000 0.5000
Cu 0.1823 0.1823 0.2189
Cu 0.8177 0.8177 0.7811

Output
**DFT formation energy**: -1.51 eV/f.u.
**Energy**: -4.327 eV per atom
**DOS at the Fermi energy**: 9.33 states/eV per cell
**Energy relative to the lowest polymorph listed for this composition**: 0.00 eV/f.u.


Record 8
# Rb4Hg5Se2

Crystalline Rb4Hg5Se2 at its relaxed geometry (PBE, Alexandria).

Lattice parameters (Å, degrees): 8.8542 4.6977 10.9898 90.00 91.83 90.00
Element x y z (fractional)
Rb 0.1846 0.0000 0.0746
Rb 0.2220 0.0000 0.6414
Rb 0.7780 0.0000 0.3586
Rb 0.8154 0.0000 0.9254
Hg 0.1224 0.5000 0.3676
Hg 0.4528 0.5000 0.8551
Hg 0.5000 0.5000 0.5000
Hg 0.5472 0.5000 0.1449
Hg 0.8776 0.5000 0.6324
Se 0.1117 0.5000 0.8334
Se 0.8883 0.5000 0.1666

Output
**Energy**: -1.638 eV per atom
**Formation energy without anion corrections**: -515 meV per atom


Record 9
# CaPm3Sn2

Crystalline CaPm3Sn2 at its relaxed geometry (PBE, Alexandria).

Lattice parameters (Å, degrees): 9.4672 9.4672 9.7828 113.98 113.98 28.80
Element x y z (fractional)
Ca 0.1121 0.1121 0.1228
Ca 0.8879 0.8879 0.8772
Pm 0.0493 0.0493 0.6843
Pm 0.3062 0.3062 0.1120
Pm 0.3507 0.3507 0.5194
Pm 0.6493 0.6493 0.4806
Pm 0.6938 0.6938 0.8880
Pm 0.9507 0.9507 0.3157
Sn 0.2415 0.2415 0.7158
Sn 0.4939 0.4939 0.1488
Sn 0.5061 0.5061 0.8512
Sn 0.7585 0.7585 0.2842

Output
**DFT formation energy**: -2.85 eV/f.u.
**Energy**: -4.518 eV per atom
**DOS at the Fermi energy**: 12.86 states/eV per cell


Record 10
# Nd12Ir3N5

Crystalline Nd12Ir3N5 at its relaxed geometry (PBE, Alexandria).

Lattice parameters (Å, degrees): 13.6373 13.6373 13.6373 109.47 109.47 109.47
Element x y z (fractional)
Nd 0.0255 0.2064 0.1204
Nd 0.0255 0.3191 0.9051
Nd 0.0860 0.7064 0.6809
Nd 0.0860 0.8796 0.4051
Nd 0.0949 0.6204 0.4140
Nd 0.0949 0.9745 0.6809
Nd 0.1204 0.0255 0.2064
Nd 0.1204 0.5949 0.9140
Nd 0.1809 0.2064 0.5860
Nd 0.1809 0.4745 0.5949
Nd 0.2064 0.1204 0.0255
Nd 0.2064 0.5860 0.1809
Nd 0.2936 0.3191 0.9140
Nd 0.2936 0.4745 0.3796
Nd 0.3191 0.9051 0.0255
Nd 0.3191 0.9140 0.2936
Nd 0.3796 0.2936 0.4745
Nd 0.3796 0.5860 0.9051
Nd 0.4051 0.0860 0.8796
Nd 0.4051 0.8191 0.5255
Nd 0.4140 0.0949 0.6204
Nd 0.4140 0.8191 0.7936
Nd 0.4745 0.3796 0.2936
Nd 0.4745 0.5949 0.1809
Nd 0.5255 0.4051 0.8191
Nd 0.5255 0.6204 0.7064
Nd 0.5860 0.1809 0.2064
Nd 0.5860 0.9051 0.3796
Nd 0.5949 0.1809 0.4745
Nd 0.5949 0.9140 0.1204
Nd 0.6204 0.4140 0.0949
Nd 0.6204 0.7064 0.5255
Nd 0.6809 0.0860 0.7064
Nd 0.6809 0.0949 0.9745
Nd 0.7064 0.5255 0.6204
Nd 0.7064 0.6809 0.0860
Nd 0.7936 0.4140 0.8191
Nd 0.7936 0.8796 0.9745
Nd 0.8191 0.5255 0.4051
Nd 0.8191 0.7936 0.4140
Nd 0.8796 0.4051 0.0860
Nd 0.8796 0.9745 0.7936
Nd 0.9051 0.0255 0.3191
Nd 0.9051 0.3796 0.5860
Nd 0.9140 0.1204 0.5949
Nd 0.9140 0.2936 0.3191
Nd 0.9745 0.6809 0.0949
Nd 0.9745 0.7936 0.8796
Ir 0.1250 0.2500 0.3750
Ir 0.1250 0.3750 0.7500
Ir 0.2500 0.3750 0.1250
Ir 0.2500 0.8750 0.6250
Ir 0.3750 0.1250 0.2500
Ir 0.3750 0.7500 0.1250
Ir 0.6250 0.2500 0.8750
Ir 0.6250 0.8750 0.7500
Ir 0.7500 0.1250 0.3750
Ir 0.7500 0.6250 0.8750
Ir 0.8750 0.6250 0.2500
Ir 0.8750 0.7500 0.6250
N 0.0000 0.0000 0.0000
N 0.0000 0.0000 0.5000
N 0.0000 0.5000 0.0000
N 0.0000 0.5000 0.5000
N 0.1250 0.7500 0.8750
N 0.1250 0.8750 0.2500
N 0.2500 0.1250 0.8750
N 0.2500 0.6250 0.3750
N 0.3750 0.2500 0.6250
N 0.3750 0.6250 0.7500
N 0.5000 0.0000 0.0000
N 0.5000 0.0000 0.5000
N 0.5000 0.5000 0.0000
N 0.5000 0.5000 0.5000
N 0.6250 0.3750 0.2500
N 0.6250 0.7500 0.3750
N 0.7500 0.3750 0.6250
N 0.7500 0.8750 0.1250
N 0.8750 0.1250 0.7500
N 0.8750 0.2500 0.1250

Output
**Energy**: -7.068 eV per atom
**Formation energy without anion corrections**: -797 meV per atom
**DOS at the Fermi energy**: 61.17 states/eV per cell


Record 11
# CaURuO6

Crystalline CaURuO6 at its relaxed geometry (PBE, Alexandria).

Lattice parameters (Å, degrees): 4.9739 4.9739 9.8831 90.00 90.00 90.00
Element x y z (fractional)
Ca 0.0000 0.0000 0.0000
Ca 0.5000 0.5000 0.5000
U 0.0000 0.0000 0.6632
U 0.5000 0.5000 0.1632
Ru 0.0000 0.0000 0.3277
Ru 0.5000 0.5000 0.8277
O 0.1760 0.1760 0.4903
O 0.2013 0.2013 0.1839
O 0.2119 0.2119 0.8131
O 0.2881 0.7119 0.3131
O 0.2987 0.7013 0.6839
O 0.3240 0.6760 0.9903
O 0.6760 0.3240 0.9903
O 0.7013 0.2987 0.6839
O 0.7119 0.2881 0.3131
O 0.7881 0.7881 0.8131
O 0.7987 0.7987 0.1839
O 0.8240 0.8240 0.4903

Output
**Energy**: -8.147 eV per atom
**Formation energy without anion corrections**: -2334 meV per atom
**DOS at the Fermi energy**: 10.43 states/eV per cell


Record 12
# MgCd2Pd2

Crystalline MgCd2Pd2 at its relaxed geometry (PBE, Alexandria).

Lattice parameters (Å, degrees): 7.1238 7.1238 7.1238 147.84 147.84 46.13
Element x y z (fractional)
Mg 0.0000 0.0000 0.0000
Cd 0.2500 0.7500 0.5000
Cd 0.7500 0.2500 0.5000
Pd 0.4014 0.4014 0.0000
Pd 0.5986 0.5986 0.0000

Output
**DFT formation energy**: -1.01 eV/f.u.
**Energy**: -2.964 eV per atom
**DOS at the Fermi energy**: 1.76 states/eV per cell
**Energy relative to the lowest polymorph listed for this composition**: 1.21 eV/f.u.